Entry 1:
LaMn3Ni: optimized geometry, PBE.

Lattice parameters (Å, degrees): 4.696 4.696 4.696 90.00 90.00 90.00
Element x y z (fractional)
La  0.000  0.000  0.000
Mn  0.000  0.000  0.500
Mn  0.000  0.500  0.000
Mn  0.500  0.000  0.000
Ni  0.500  0.500  0.500

- SG = Pm-3m (221)
- relative energy among the computed polymorphs (meV/atom) = 1473.1
- total energy (eV per atom) = -5.773
- calculated volume (Å³/atom) = 20.71
- M_tot (μB/f.u.) = 9.54
- formation enthalpy at 0 K (eV/atom) = 1.871
- DOS(E_F) (states/eV/cell) = 6.3

Entry 2:
La2PmCo: optimized geometry, PBE.

Lattice parameters (Å, degrees): 9.639 9.639 9.639 23.46 23.46 23.46
Element x y z (fractional)
La  0.000  0.000  0.000
La  0.221  0.221  0.221
Pm  0.444  0.444  0.444
Co  0.610  0.610  0.610

- SG = R3m (160)
- relative energy among the computed polymorphs (meV/atom) = 93.7
- total energy (eV per atom) = -5.426
- calculated volume (Å³/atom) = 31.16
- M_tot (μB/f.u.) = 0.00
- formation enthalpy at 0 K (eV/atom) = 0.002
- DOS(E_F) (states/eV/cell) = 5.7

Entry 3:
BeTl2SiTe4: optimized geometry, PBE.

Lattice parameters (Å, degrees): 7.005 7.005 7.005 113.39 113.39 101.89
Element x y z (fractional)
Be  0.000  0.000  0.000
Tl  0.250  0.750  0.500
Tl  0.500  0.500  0.000
Si  0.750  0.250  0.500
Te  0.043  0.640  0.901
Te  0.360  0.261  0.403
Te  0.739  0.142  0.099
Te  0.858  0.957  0.597

- SG = I-4 (82)
- formation energy without anion corrections (eV/f.u.) = -1.649
- total energy (eV per atom) = -3.512
- calculated volume (Å³/atom) = 32.65
- M_tot (μB/f.u.) = 0.00

Q: Which value of M_tot does entry 1 give?
A: 9.54 μB/f.u.

Q: Look up the calculated volume of the first one.
A: 20.71 Å³/atom